1.
Li2Nd2ThSi2 PBE optimized geometry; E_form (uncorrected) = -0.349 eV per atom; space-group type = No. 166; total energy = -34.1 eV per cell
1.0
2.241 1.294 9.450
-2.241 1.294 9.450
0.000 -2.587 9.450
Li Nd Th Si
2 2 1 2
Direct
0.102 0.102 0.102
0.898 0.898 0.898
0.375 0.375 0.375
0.625 0.625 0.625
0.500 0.500 0.500
0.231 0.231 0.231
0.769 0.769 0.769


2.
Li2Nd2TmSi2 PBE optimized geometry; E_form (uncorrected) = -0.389 eV per atom; space-group type = No. 166; total energy = -31.4 eV per cell
1.0
2.194 1.267 9.568
-2.194 1.267 9.568
0.000 -2.533 9.568
Li Nd Tm Si
2 2 1 2
Direct
0.114 0.114 0.114
0.886 0.886 0.886
0.378 0.378 0.378
0.622 0.622 0.622
0.500 0.500 0.500
0.226 0.226 0.226
0.774 0.774 0.774


no.,mass density (g cm⁻³)
1,5.97
2,5.49